(1)
Entry from the Alexandria database: an optimized crystal structure of NaLa2YNi (PBE).

Cell lengths 5.497, 5.497, 5.604 Å; angles 90.00, 90.00, 90.00 degrees
Space group P4/mmm (No. 123)
Inequivalent atoms, fractional coordinates:
Na (0.000, 0.000, 0.000)
La (0.000, 0.500, 0.500)
Y (0.500, 0.500, 0.000)
Ni (0.500, 0.500, 0.500)

Properties
- Energy of formation: 0.010 eV per atom

(2)
Entry from the Alexandria database: an optimized crystal structure of NaLaY2Ni (PBE).

Cell lengths 5.490, 5.490, 5.371 Å; angles 90.00, 90.00, 90.00 degrees
Space group P4/mmm (No. 123)
Inequivalent atoms, fractional coordinates:
Na (0.000, 0.000, 0.000)
La (0.500, 0.500, 0.000)
Y (0.000, 0.500, 0.500)
Ni (0.500, 0.500, 0.500)

Properties
- Energy of formation: 0.007 eV per atom

(3)
Entry from the Alexandria database: an optimized crystal structure of NaLaZnNi2 (PBE).

Cell lengths 4.680, 4.680, 5.313 Å; angles 90.00, 90.00, 90.00 degrees
Space group P4/mmm (No. 123)
Inequivalent atoms, fractional coordinates:
Na (0.000, 0.000, 0.000)
La (0.500, 0.500, 0.000)
Zn (0.500, 0.500, 0.500)
Ni (0.000, 0.500, 0.500)

Properties
- Energy of formation: 0.582 eV per atom

(4)
Entry from the Alexandria database: an optimized crystal structure of NaLaZn2Ni (PBE).

Cell lengths 4.884, 4.884, 4.992 Å; angles 90.00, 90.00, 90.00 degrees
Space group P4/mmm (No. 123)
Inequivalent atoms, fractional coordinates:
Na (0.000, 0.000, 0.000)
La (0.500, 0.500, 0.000)
Zn (0.000, 0.500, 0.500)
Ni (0.500, 0.500, 0.500)

Properties
- Energy of formation: -0.091 eV per atom

(5)
Entry from the Alexandria database: an optimized crystal structure of NaLa2ZnNi (PBE).

Cell lengths 5.450, 5.450, 4.817 Å; angles 90.00, 90.00, 90.00 degrees
Space group P4/mmm (No. 123)
Inequivalent atoms, fractional coordinates:
Na (0.000, 0.000, 0.000)
La (0.000, 0.500, 0.500)
Zn (0.500, 0.500, 0.000)
Ni (0.500, 0.500, 0.500)

Properties
- Energy of formation: -0.074 eV per atom

(6)
Entry from the Alexandria database: an optimized crystal structure of NaLa2NpO8 (PBE).

Cell lengths 4.388, 7.655, 5.154 Å; angles 90.00, 94.73, 90.00 degrees
Space group P2/m (No. 10)
Inequivalent atoms, fractional coordinates:
Na (0.000, 0.000, 0.000)
La (0.500, 0.257, 0.500)
Np (0.000, 0.500, 0.000)
O (0.038, 0.299, 0.757)
O (0.439, 0.500, 0.232)
O (0.499, 0.000, 0.148)

Properties
- Formation energy from raw total energies: -2550 meV/atom

no.,ρ (kg/m³),M_tot (μB per formula unit)
1,4397,0.00
2,4087,0.00
3,4918,0.87
4,4901,0.00
5,4931,0.00
6,6408,0.07